Entry 1:
NaTe2W | PBE-GGA | relaxed

Calculated values
The value obtained for the volume is 35.69 A^3/atom. Its energy above the most stable polymorph in this dataset is 172 meV per atom. Its formation energy (no corrections) is 0.2402 eV per atom. The electronic total energy comes out at -4.899 eV/atom.

Cell: 6.951 6.951 11.818 Å, 90.00 90.00 90.00°
Space group I-42d (No. 122)
Asymmetric unit:
Na1 0.000 0.000 0.000 [4 per cell]
Te1 0.185 0.250 0.625 [8 per cell]
W1 0.000 0.000 0.500 [4 per cell]

Entry 2:
Ac2ErZn | PBE-GGA | relaxed

Calculated values
The value obtained for the volume is 34.10 A^3/atom. Its energy above the most stable polymorph in this dataset is 0 meV per atom. The formation energy comes out at -0.31 eV/f.u. The electronic total energy comes out at -3.592 eV/atom.

Cell: 3.894 3.894 8.998 Å, 90.00 90.00 90.00°
Space group P4/mmm (No. 123)
Asymmetric unit:
Ac1 0.000 0.000 0.217 [2 per cell]
Er1 0.500 0.500 0.500 [1 per cell]
Zn1 0.500 0.500 0.000 [1 per cell]

Entry 3:
AlSe | PBE-GGA | relaxed

Calculated values
The value obtained for the volume is 20.30 A^3/atom. Its formation energy (no corrections) is -0.1026 eV per atom. The electronic total energy comes out at -3.716 eV/atom.

Cell: 5.0411 5.0411 11.0694 Å, 90.00 90.00 120.00°
Space group P-3m1 (No. 164)
Asymmetric unit:
Al1 0.0000 0.0000 0.1230 [2 per cell]
Al2 0.3333 0.6667 0.1214 [2 per cell]
Al3 0.3333 0.6667 0.3678 [2 per cell]
Se1 0.0000 0.0000 0.3453 [2 per cell]
Se2 0.3333 0.6667 0.5928 [2 per cell]
Se3 0.3333 0.6667 0.8924 [2 per cell]

Entry 4:
TbPrDyHo2 | PBE-GGA | relaxed

Calculated values
The value obtained for the volume is 34.83 A^3/atom. The formation energy comes out at 1.88 eV/f.u. The electronic total energy comes out at -4.256 eV/atom.

Cell: 8.408 11.514 7.195 Å, 90.00 90.00 90.00°
Space group Cmcm (No. 63)
Asymmetric unit:
Tb1 0.000 0.001 0.250 [4 per cell]
Pr1 0.000 0.272 0.250 [4 per cell]
Dy1 0.000 0.277 0.750 [4 per cell]
Ho1 0.189 0.500 0.000 [8 per cell]

Entry 5:
Li4Zr3PaSe8 | PBE-GGA | relaxed

Calculated values
The value obtained for the volume is 21.02 A^3/atom. Its formation energy (no corrections) is -1.3253 eV per atom. The electronic total energy comes out at -5.742 eV/atom.

Cell: 7.6064 7.6064 20.1407 Å, 90.00 90.00 120.00°
Space group R-3m (No. 166, hexagonal axes)
Asymmetric unit:
Li1 0.0000 0.0000 0.0000 [3 per cell]
Li2 0.0000 0.5000 0.0000 [9 per cell]
Zr1 0.0000 0.5000 0.5000 [9 per cell]
Pa1 0.0000 0.0000 0.5000 [3 per cell]
Se1 0.0000 0.0000 0.2495 [6 per cell]
Se2 0.0091 0.5046 0.7475 [18 per cell]

Entry 6:
CuIrRu2 | PBE-GGA | relaxed

Calculated values
The value obtained for the volume is 14.08 A^3/atom. Its energy above the most stable polymorph in this dataset is 269 meV per atom. The formation energy comes out at 1.59 eV/f.u. The electronic total energy comes out at -7.480 eV/atom.

Cell: 4.556 4.556 2.713 Å, 90.00 90.00 90.00°
Space group P4/mmm (No. 123)
Asymmetric unit:
Cu1 0.000 0.000 0.000 [1 per cell]
Ir1 0.500 0.500 0.000 [1 per cell]
Ru1 0.000 0.500 0.500 [2 per cell]

Entry 7:
Zr2SnS6 | PBE-GGA | relaxed

Calculated values
The value obtained for the volume is 23.77 A^3/atom. Its formation energy (no corrections) is -0.9872 eV per atom. The electronic total energy comes out at -6.083 eV/atom.

Cell: 6.123 6.123 11.411 Å, 90.00 90.00 90.00°
Space group P4_2/mnm (No. 136)
Asymmetric unit:
Zr1 0.000 0.000 0.163 [4 per cell]
Sn1 0.000 0.000 0.500 [2 per cell]
S1 0.196 0.196 0.000 [4 per cell]
S2 0.196 0.196 0.331 [8 per cell]

Entry 8:
PmPuPb | PBE-GGA | relaxed

Calculated values
The value obtained for the volume is 29.50 A^3/atom. Its energy above the most stable polymorph in this dataset is 177 meV per atom. The formation energy comes out at -0.39 eV/f.u. The electronic total energy comes out at -7.729 eV/atom.

Cell: 4.161 4.161 10.224 Å, 90.00 90.00 90.00°
Space group I4mm (No. 107)
Asymmetric unit:
Pm1 0.000 0.000 0.000 [2 per cell]
Pu1 0.000 0.000 0.312 [2 per cell]
Pb1 0.000 0.000 0.653 [2 per cell]